1.
Entry from Alexandria: a relaxed YAl2Zn crystal (PBEsol).

Properties
**Formation energy from the elements**: -1.6 eV per formula unit
**Spin magnetization**: 0.00 μB/f.u.
**Theoretical density**: 4.7 g cm⁻³

a b c (Å): 4.200 4.200 4.212
angles (deg): 90.00 90.00 90.00
Space group P4/mmm (No. 123)
Symmetry-distinct sites (fractional):
Y  0.000  0.000  0.000 [1 per cell]
Al  0.000  0.500  0.500 [2 per cell]
Zn  0.500  0.500  0.000 [1 per cell]

***

2.
Entry from Alexandria: a relaxed YZr2Al crystal (PBEsol).

Properties
**Formation energy from the elements**: -0.8 eV per formula unit
**Spin magnetization**: 0.00 μB/f.u.
**Theoretical density**: 5.7 g cm⁻³

a b c (Å): 4.430 4.430 4.421
angles (deg): 90.00 90.00 90.00
Space group P4/mmm (No. 123)
Symmetry-distinct sites (fractional):
Y  0.000  0.000  0.000 [1 per cell]
Zr  0.000  0.500  0.500 [2 per cell]
Al  0.500  0.500  0.000 [1 per cell]

***

3.
Entry from Alexandria: a relaxed YZrAl crystal (PBEsol).

Properties
**Formation energy from the elements**: 1.9 eV per formula unit
**Spin magnetization**: 1.24 μB/f.u.
**Theoretical density**: 4.3 g cm⁻³

a b c (Å): 6.814 6.814 6.814
angles (deg): 90.00 90.00 90.00
Space group F-43m (No. 216)
Symmetry-distinct sites (fractional):
Y  0.000  0.000  0.000 [4 per cell]
Zr  0.250  0.250  0.750 [4 per cell]
Al  0.000  0.000  0.500 [4 per cell]

***

4.
Entry from Alexandria: a relaxed YZrAl4 crystal (PBEsol).

Properties
**Formation energy from the elements**: -3.1 eV per formula unit
**Spin magnetization**: 0.00 μB/f.u.
**Theoretical density**: 4.3 g cm⁻³

a b c (Å): 7.629 7.629 7.629
angles (deg): 90.00 90.00 90.00
Space group F-43m (No. 216)
Symmetry-distinct sites (fractional):
Y  0.000  0.000  0.000 [4 per cell]
Zr  0.250  0.250  0.750 [4 per cell]
Al  0.125  0.125  0.375 [16 per cell]